(1)
Entry from Alexandria: a relaxed structure of Li2AlTeO6 (PBE-GGA).

Calculated values
As for the uncorrected formation energy: -1559 meV/atom.

Cell lengths 5.394, 5.394, 3.850 Å; angles 90.00, 90.00, 90.00 degrees
Space group P4mm (No. 99)
Unique sites:
Li1 0.000 0.500 0.000 (multiplicity 2)
Al1 0.000 0.000 0.732 (multiplicity 1)
Te1 0.500 0.500 0.738 (multiplicity 1)
O1 0.000 0.000 0.245 (multiplicity 1)
O2 0.250 0.250 0.779 (multiplicity 4)
O3 0.500 0.500 0.248 (multiplicity 1)


(2)
Entry from Alexandria: a relaxed structure of Li2PmCu4 (PBE-GGA).

Calculated values
For the formation enthalpy at 0 K, the calculation gives -130 meV/atom.

Cell lengths 6.733, 6.733, 4.849 Å; angles 90.00, 90.00, 90.00 degrees
Space group I4/mmm (No. 139)
Unique sites:
Li1 0.000 0.500 0.250 (multiplicity 4)
Pm1 0.000 0.000 0.000 (multiplicity 2)
Cu1 0.190 0.190 0.500 (multiplicity 8)


(3)
Entry from Alexandria: a relaxed structure of CuIrPt2 (PBE-GGA).

Calculated values
For the formation enthalpy at 0 K, the calculation gives 33 meV/atom. As for the polymorph energy (0 for the lowest one): 0.085 eV per atom.

Cell lengths 3.860, 3.860, 3.913 Å; angles 90.00, 90.00, 90.00 degrees
Space group P4/mmm (No. 123)
Unique sites:
Cu1 0.000 0.000 0.000 (multiplicity 1)
Ir1 0.500 0.500 0.000 (multiplicity 1)
Pt1 0.000 0.500 0.500 (multiplicity 2)


(4)
Entry from Alexandria: a relaxed structure of CsMg4Pb2 (PBE-GGA).

Calculated values
For the formation enthalpy at 0 K, the calculation gives -116 meV/atom. As for the polymorph energy (0 for the lowest one): 0.000 eV per atom.

Cell lengths 5.0747, 5.0747, 30.7072 Å; angles 90.00, 90.00, 120.00 degrees
Space group R-3m (No. 166, hexagonal axes)
Unique sites:
Cs1 0.0000 0.0000 0.0000 (multiplicity 3)
Mg1 0.0000 0.0000 0.1433 (multiplicity 6)
Mg2 0.0000 0.0000 0.4475 (multiplicity 6)
Pb1 0.0000 0.0000 0.2426 (multiplicity 6)


(5)
Entry from Alexandria: a relaxed structure of BePd2Pt (PBE-GGA).

Calculated values
For the formation enthalpy at 0 K, the calculation gives -339 meV/atom.

Cell lengths 9.377, 2.876, 4.729 Å; angles 90.00, 120.09, 90.00 degrees
Space group Cm (No. 8)
Unique sites:
Be1 0.000 0.000 0.000 (multiplicity 2)
Pd1 0.199 0.500 0.360 (multiplicity 2)
Pd2 0.300 0.000 0.960 (multiplicity 2)
Pt1 0.499 0.000 0.629 (multiplicity 2)


(6)
Entry from Alexandria: a relaxed structure of PaH6Rh3 (PBE-GGA).

Cell lengths 4.971, 4.975, 5.165 Å; angles 90.05, 118.72, 119.97 degrees
Space group P1 (No. 1)
Unique sites:
Pa1 0.000 0.000 0.000 (multiplicity 1)
H1 0.240 0.757 0.431 (multiplicity 1)
H2 0.435 0.983 0.919 (multiplicity 1)
H3 0.467 0.484 0.919 (multiplicity 1)
H4 0.673 0.483 0.431 (multiplicity 1)
H5 0.939 0.453 0.920 (multiplicity 1)
H6 0.948 0.191 0.432 (multiplicity 1)
Rh1 0.137 0.569 0.705 (multiplicity 1)
Rh2 0.418 0.209 0.625 (multiplicity 1)
Rh3 0.594 0.797 0.390 (multiplicity 1)


(7)
Entry from Alexandria: a relaxed structure of ScTa2Sb (PBE-GGA).

Calculated values
As for the uncorrected formation energy: -164 meV/atom.

Cell lengths 3.556, 3.556, 6.270 Å; angles 90.00, 90.00, 90.00 degrees
Space group P4mm (No. 99)
Unique sites:
Sc1 0.000 0.000 0.000 (multiplicity 1)
Ta1 0.000 0.000 0.488 (multiplicity 1)
Ta2 0.500 0.500 0.258 (multiplicity 1)
Sb1 0.500 0.500 0.739 (multiplicity 1)


(8)
Entry from Alexandria: a relaxed structure of SmHoThIn (PBE-GGA).

Calculated values
For the formation enthalpy at 0 K, the calculation gives -31 meV/atom.

Cell lengths 7.759, 7.759, 7.759 Å; angles 90.00, 90.00, 90.00 degrees
Space group F-43m (No. 216)
Unique sites:
Sm1 0.000 0.000 0.000 (multiplicity 4)
Ho1 0.000 0.000 0.500 (multiplicity 4)
Th1 0.250 0.250 0.250 (multiplicity 4)
In1 0.250 0.250 0.750 (multiplicity 4)


(9)
Entry from Alexandria: a relaxed structure of BiOsSe2N (PBE-GGA).

Calculated values
As for the uncorrected formation energy: 2073 meV/atom. As for the polymorph energy (0 for the lowest one): 1.824 eV per atom.

Cell lengths 5.467, 5.467, 4.216 Å; angles 90.00, 90.00, 90.00 degrees
Space group P4/mmm (No. 123)
Unique sites:
Bi1 0.000 0.000 0.000 (multiplicity 1)
Os1 0.500 0.500 0.500 (multiplicity 1)
Se1 0.000 0.500 0.000 (multiplicity 2)
N1 0.000 0.000 0.500 (multiplicity 1)


(10)
Entry from Alexandria: a relaxed structure of KBa2Cl (PBE-GGA).

Calculated values
As for the uncorrected formation energy: -337 meV/atom. As for the polymorph energy (0 for the lowest one): 0.492 eV per atom.

Cell lengths 9.383, 9.383, 9.383 Å; angles 90.00, 90.00, 90.00 degrees
Space group Fm-3m (No. 225)
Unique sites:
K1 0.000 0.000 0.000 (multiplicity 4)
Ba1 0.250 0.250 0.250 (multiplicity 8)
Cl1 0.000 0.000 0.500 (multiplicity 4)


(11)
Entry from Alexandria: a relaxed structure of TiNb3Br (PBE-GGA).

Calculated values
As for the uncorrected formation energy: 1049 meV/atom. As for the polymorph energy (0 for the lowest one): 0.000 eV per atom.

Cell lengths 4.731, 4.731, 4.731 Å; angles 90.00, 90.00, 90.00 degrees
Space group Pm-3m (No. 221)
Unique sites:
Ti1 0.000 0.000 0.000 (multiplicity 1)
Nb1 0.000 0.500 0.500 (multiplicity 3)
Br1 0.500 0.500 0.500 (multiplicity 1)


(12)
Entry from Alexandria: a relaxed structure of Y2TlTe6Pb3 (PBE-GGA).

Calculated values
As for the uncorrected formation energy: -718 meV/atom.

Cell lengths 19.912, 4.475, 9.492 Å; angles 90.00, 103.39, 90.00 degrees
Space group C2/m (No. 12)
Unique sites:
Y1 0.168 0.000 0.347 (multiplicity 4)
Tl1 0.000 0.500 0.000 (multiplicity 2)
Te1 0.011 0.000 0.264 (multiplicity 4)
Te2 0.170 0.500 0.581 (multiplicity 4)
Te3 0.177 0.500 0.117 (multiplicity 4)
Pb1 0.000 0.500 0.500 (multiplicity 2)
Pb2 0.158 0.000 0.847 (multiplicity 4)


(13)
Entry from Alexandria: a relaxed structure of InH2Ir (PBE-GGA).

Calculated values
As for the polymorph energy (0 for the lowest one): 0.000 eV per atom.

Cell lengths 4.519, 4.528, 9.113 Å; angles 90.00, 90.00, 90.00 degrees
Space group Fmm2 (No. 42)
Unique sites:
In1 0.000 0.000 0.000 (multiplicity 4)
H1 0.250 0.250 0.274 (multiplicity 8)
Ir1 0.000 0.000 0.693 (multiplicity 4)


| no. | calculated total energy (eV per cell) | M_tot (Bohr magnetons per cell) |
| --- | --- | --- |
| 1 | -56.0 | 1.0 |
| 2 | -51.7 | 0.0 |
| 3 | -24.9 | 0.0 |
| 4 | -46.4 | 0.0 |
| 5 | -43.0 | 0.0 |
| 6 | -54.3 | 0.2 |
| 7 | -34.8 | 0.0 |
| 8 | -78.3 | 0.0 |
| 9 | -20.0 | 4.9 |
| 10 | -32.6 | 7.5 |
| 11 | -34.5 | 0.0 |
| 12 | -107.8 | 0.0 |
| 13 | -74.0 | 0.0 |